# SmHo4Zn (PBE-GGA, optimized geometry)
data_SmHo4Zn
_cell_length_a 3.550
_cell_length_b 3.550
_cell_length_c 13.658
_cell_angle_alpha 90.00
_cell_angle_beta 90.00
_cell_angle_gamma 90.00
_symmetry_space_group_name_H-M 'P 1'
_symmetry_Int_Tables_number 1
loop_
_symmetry_equiv_pos_as_xyz
'x,y,z'
loop_
_atom_site_label
_atom_site_fract_x
_atom_site_fract_y
_atom_site_fract_z
_atom_site_occupancy
Ho1 0.500 0.500 0.814 1
Ho2 0.000 0.000 0.371 1
Ho3 0.000 0.000 0.629 1
Ho4 0.500 0.500 0.186 1
Sm1 0.000 0.000 0.000 1
Zn1 0.500 0.500 0.500 1
# - Total moment: 0.000 μB per cell
# - Energy above the lowest structure with this stoichiometry: 0.0000 eV per atom
# - DOS(E_F): 1.376 states/eV/atom
# - Calculated formation energy: -98.0 meV/atom